The following is a DFT calculation (PBE) of a geometry-optimized Er2Re3Mo structure.

- space group = C2/m (12)
- N(E_F) (states/eV/cell) = 2.904
- VASP energy (eV/f.u.) = -58.48

a b c (Å): 5.404 5.404 5.435
angles (deg): 90.13 119.80 119.87
Element x y z (fractional)
Re 0.500 0.500 0.500
Re 0.500 0.000 0.500
Re 0.000 0.000 0.500
Er 0.751 0.376 0.127
Er 0.249 0.624 0.873
Mo 0.000 0.000 0.000

The following is a DFT calculation (PBE) of a geometry-optimized TcMoRhSe2 structure.

- formation energy from raw total energies (meV per atom) = 1245
- space group = P4/mmm (123)
- N(E_F) (states/eV/cell) = 6.253
- VASP energy (eV/f.u.) = -29.29

a b c (Å): 4.750 4.792 4.750
angles (deg): 90.00 90.00 90.00
Element x y z (fractional)
Se 0.000 0.000 0.500
Se 0.500 0.000 0.000
Mo 0.000 0.500 0.000
Rh 0.500 0.500 0.500
Tc 0.000 0.000 0.000

The following is a DFT calculation (PBE) of a geometry-optimized KGa4Ag2 structure.

- polymorph energy (0 for the lowest one) (meV per atom) = 0.0
- space group = P4_2/mnm (136)
- N(E_F) (states/eV/cell) = 6.315
- VASP energy (eV/f.u.) = -19.13

a b c (Å): 3.402 9.412 9.412
angles (deg): 90.00 90.00 90.00
Element x y z (fractional)
Ag 0.000 0.238 0.762
Ag 0.500 0.262 0.262
Ag 0.000 0.762 0.238
Ag 0.500 0.738 0.738
Ga 0.000 0.334 0.036
Ga 0.500 0.166 0.536
Ga 0.500 0.536 0.166
Ga 0.000 0.666 0.964
Ga 0.500 0.834 0.464
Ga 0.500 0.464 0.834
Ga 0.000 0.964 0.666
Ga 0.000 0.036 0.334
K 0.000 0.500 0.500
K 0.500 0.000 0.000

The following is a DFT calculation (PBE) of a geometry-optimized Ca12Mg6Cd structure.

- space group = R-3 (148)
- N(E_F) (states/eV/cell) = 19.705
- VASP energy (eV/f.u.) = -35.16

a b c (Å): 8.653 8.653 8.653
angles (deg): 87.64 87.64 87.64
Element x y z (fractional)
Ca 0.801 0.537 0.435
Ca 0.537 0.435 0.801
Ca 0.018 0.151 0.365
Ca 0.982 0.849 0.635
Ca 0.435 0.801 0.537
Ca 0.849 0.635 0.982
Ca 0.365 0.018 0.151
Ca 0.199 0.463 0.565
Ca 0.635 0.982 0.849
Ca 0.565 0.199 0.463
Ca 0.463 0.565 0.199
Ca 0.151 0.365 0.018
Mg 0.898 0.257 0.742
Mg 0.742 0.898 0.257
Mg 0.258 0.102 0.743
Mg 0.102 0.743 0.258
Mg 0.743 0.258 0.102
Mg 0.257 0.742 0.898
Cd 0.000 0.000 0.000

The following is a DFT calculation (PBE) of a geometry-optimized HfAl2F structure.

- formation energy from raw total energies (meV per atom) = -186
- polymorph energy (0 for the lowest one) (meV per atom) = 313.8
- space group = Fm-3m (225)
- N(E_F) (states/eV/cell) = 1.876
- VASP energy (eV/f.u.) = -20.05

a b c (Å): 4.663 4.663 4.663
angles (deg): 60.00 60.00 60.00
Element x y z (fractional)
Al 0.750 0.750 0.750
Al 0.250 0.250 0.250
Hf 0.500 0.500 0.500
F 0.000 0.000 0.000

The following is a DFT calculation (PBE) of a geometry-optimized SrGePCl2 structure.

- formation energy from raw total energies (meV per atom) = -232
- polymorph energy (0 for the lowest one) (meV per atom) = 551.4
- space group = P4/mmm (123)
- N(E_F) (states/eV/cell) = 1.816
- VASP energy (eV/f.u.) = -16.56

a b c (Å): 5.367 5.367 6.190
angles (deg): 90.00 90.00 90.00
Element x y z (fractional)
Cl 0.000 0.500 0.000
Cl 0.500 0.000 0.000
P 0.000 0.000 0.500
Ge 0.500 0.500 0.500
Sr 0.000 0.000 0.000

Question: What is the N(E_F) in the sixth record?
Answer: 1.816 states/eV/cell

Question: What is the N(E_F) in the sixth record?
Answer: 1.816 states/eV/cell

Question: What is the formula in the fifth record?
Answer: HfAl2F

Question: Which value of N(E_F) does entry 4 give?
Answer: 19.705 states/eV/cell